# 1
Na3Tl5I12 PBE-GGA relaxed; formation energy (no corrections) = -580 meV/atom; space-group type = Ia-3d, No. 230
1.0
-9.871 9.871 9.871
9.871 -9.871 9.871
9.871 9.871 -9.871
Na Tl I
12 20 48
direct
0.125 0.250 0.375
0.125 0.375 0.750
0.250 0.375 0.125
0.250 0.875 0.625
0.375 0.125 0.250
0.375 0.750 0.125
0.625 0.250 0.875
0.625 0.875 0.750
0.750 0.125 0.375
0.750 0.625 0.875
0.875 0.625 0.250
0.875 0.750 0.625
0.000 0.000 0.000
0.000 0.000 0.500
0.000 0.500 0.000
0.000 0.500 0.500
0.125 0.750 0.875
0.125 0.875 0.250
0.250 0.125 0.875
0.250 0.625 0.375
0.375 0.250 0.625
0.375 0.625 0.750
0.500 0.000 0.000
0.500 0.000 0.500
0.500 0.500 0.000
0.500 0.500 0.500
0.625 0.375 0.250
0.625 0.750 0.375
0.750 0.375 0.625
0.750 0.875 0.125
0.875 0.125 0.750
0.875 0.250 0.125
0.042 0.223 0.135
0.042 0.319 0.907
0.087 0.723 0.681
0.087 0.865 0.407
0.093 0.635 0.413
0.093 0.958 0.681
0.135 0.042 0.223
0.135 0.593 0.913
0.181 0.223 0.587
0.181 0.458 0.593
0.223 0.135 0.042
0.223 0.587 0.181
0.277 0.319 0.913
0.277 0.458 0.365
0.319 0.907 0.042
0.319 0.913 0.277
0.365 0.277 0.458
0.365 0.587 0.907
0.407 0.087 0.865
0.407 0.819 0.542
0.413 0.093 0.635
0.413 0.819 0.777
0.458 0.365 0.277
0.458 0.593 0.181
0.542 0.407 0.819
0.542 0.635 0.723
0.587 0.181 0.223
0.587 0.907 0.365
0.593 0.181 0.458
0.593 0.913 0.135
0.635 0.413 0.093
0.635 0.723 0.542
0.681 0.087 0.723
0.681 0.093 0.958
0.723 0.542 0.635
0.723 0.681 0.087
0.777 0.413 0.819
0.777 0.865 0.958
0.819 0.542 0.407
0.819 0.777 0.413
0.865 0.407 0.087
0.865 0.958 0.777
0.907 0.042 0.319
0.907 0.365 0.587
0.913 0.135 0.593
0.913 0.277 0.319
0.958 0.681 0.093
0.958 0.777 0.865



# 2
Nd6Tm12Th PBE-GGA relaxed; final energy = -4.49 eV/atom; space-group type = R-3m, No. 166
1.0
6.623 3.824 4.124
-6.623 3.824 4.124
0.000 -7.648 4.124
Nd Tm Th
6 12 1
direct
0.157 0.602 0.602
0.398 0.398 0.843
0.398 0.843 0.398
0.602 0.157 0.602
0.602 0.602 0.157
0.843 0.398 0.398
0.000 0.255 0.745
0.000 0.745 0.255
0.151 0.151 0.423
0.151 0.423 0.151
0.255 0.000 0.745
0.255 0.745 0.000
0.423 0.151 0.151
0.577 0.849 0.849
0.745 0.000 0.255
0.745 0.255 0.000
0.849 0.577 0.849
0.849 0.849 0.577
0.500 0.500 0.500



# 3
CdSi2W PBE-GGA relaxed; formation energy (no corrections) = 239 meV/atom; space-group type = R-3m, No. 166
1.0
3.080 0.000 0.000
-1.540 2.667 0.000
0.000 0.000 25.078
Cd Si W
3 6 3
direct
0.000 0.000 0.000
0.333 0.667 0.667
0.667 0.333 0.333
0.000 0.000 0.239
0.000 0.000 0.761
0.333 0.667 0.427
0.333 0.667 0.906
0.667 0.333 0.094
0.667 0.333 0.573
0.000 0.000 0.500
0.333 0.667 0.167
0.667 0.333 0.833



no.,DOS(E_F) (states/eV/cell),calculated volume (Å³/cell)
1,44.99,3847.6
2,32.31,626.8
3,4.70,206.0